Entry 1:
SrCdSnSb (PBE-GGA, relaxed); DOS(E_F) = 1.2 states/eV/f.u.; symmetry = P4/nmm; raw formation energy = -0.45 eV/atom; electronic total energy = -3.129 eV/atom; total moment = 0.00 μB/atom
1.0
4.5106 0.0000 0.0000
0.0000 4.5106 0.0000
0.0000 0.0000 11.9629
Sr Cd Sn Sb
2 2 2 2
Direct
0.2500 0.2500 0.2315 Sr
0.7500 0.7500 0.7685 Sr
0.2500 0.7500 0.5000 Cd
0.7500 0.2500 0.5000 Cd
0.2500 0.7500 0.0000 Sn
0.7500 0.2500 0.0000 Sn
0.2500 0.2500 0.6647 Sb
0.7500 0.7500 0.3353 Sb

---

Entry 2:
AcTmCuPt (PBE-GGA, relaxed); DOS(E_F) = 2.9 states/eV/f.u.; symmetry = F-43m; formation energy = -0.61 eV/atom; electronic total energy = -5.284 eV/atom; total moment = 0.00 μB/atom
1.0
0.0000 3.6312 3.6312
3.6312 0.0000 3.6312
3.6312 3.6312 0.0000
Ac Tm Cu Pt
1 1 1 1
Direct
0.0000 0.0000 0.0000 Ac
0.5000 0.5000 0.5000 Tm
0.7500 0.7500 0.7500 Cu
0.2500 0.2500 0.2500 Pt

---

Entry 3:
TaCr3Hg (PBE-GGA, relaxed); DOS(E_F) = 2.5 states/eV/f.u.; symmetry = Pm-3m; formation energy = 1.51 eV/atom; electronic total energy = -6.691 eV/atom; polymorph energy (0 for the lowest one) = 0.0 kJ/mol of atoms; total moment = 1.81 μB/atom
1.0
4.7683 0.0000 0.0000
0.0000 4.7683 0.0000
0.0000 0.0000 4.7683
Ta Cr Hg
1 3 1
Direct
0.0000 0.0000 0.0000 Ta
0.0000 0.0000 0.5000 Cr
0.0000 0.5000 0.0000 Cr
0.5000 0.0000 0.0000 Cr
0.5000 0.5000 0.5000 Hg

---

Entry 4:
LiIO3 (PBE-GGA, relaxed); DOS(E_F) = 0.0 states/eV/f.u.; symmetry = Pna2_1; raw formation energy = -0.95 eV/atom; electronic total energy = -4.619 eV/atom; total moment = 0.00 μB/atom
1.0
9.4491 0.0000 0.0000
0.0000 5.9223 0.0000
0.0000 0.0000 5.4131
Li I O
4 4 12
Direct
0.0193 0.0904 0.0000 Li
0.4807 0.5904 0.5000 Li
0.5193 0.4096 0.0000 Li
0.9807 0.9096 0.5000 Li
0.1842 0.5815 0.9526 I
0.3158 0.0815 0.4526 I
0.6842 0.9185 0.9526 I
0.8158 0.4185 0.4526 I
0.0745 0.3638 0.8084 O
0.1299 0.8342 0.7824 O
0.1486 0.0260 0.2952 O
0.3514 0.5260 0.7952 O
0.3701 0.3342 0.2824 O
0.4255 0.8638 0.3084 O
0.5745 0.1362 0.8084 O
0.6299 0.6658 0.7824 O
0.6486 0.4740 0.2952 O
0.8514 0.9740 0.7952 O
0.8701 0.1658 0.2824 O
0.9255 0.6362 0.3084 O

---

Entry 5:
LaEu2In (PBE-GGA, relaxed); DOS(E_F) = 4.1 states/eV/f.u.; symmetry = P4/mmm; formation energy = -0.17 eV/atom; electronic total energy = -7.226 eV/atom; polymorph energy (0 for the lowest one) = 6.0 kJ/mol of atoms; total moment = 3.80 μB/atom
1.0
4.0168 0.0000 0.0000
0.0000 4.0168 0.0000
0.0000 0.0000 8.5886
La Eu In
1 2 1
Direct
0.0000 0.0000 0.0000 La
0.5000 0.5000 0.2859 Eu
0.5000 0.5000 0.7141 Eu
0.0000 0.0000 0.5000 In

---

Entry 6:
LiPmLuCu (PBE-GGA, relaxed); DOS(E_F) = 4.0 states/eV/f.u.; symmetry = F-43m; formation energy = -0.03 eV/atom; electronic total energy = -3.846 eV/atom; total moment = 0.00 μB/atom
1.0
0.0000 3.5641 3.5641
3.5641 0.0000 3.5641
3.5641 3.5641 0.0000
Li Pm Lu Cu
1 1 1 1
Direct
0.0000 0.0000 0.0000 Li
0.2500 0.2500 0.2500 Pm
0.7500 0.7500 0.7500 Lu
0.5000 0.5000 0.5000 Cu

---

Entry 7:
DyHo5Pd6 (PBE-GGA, relaxed); DOS(E_F) = 7.5 states/eV/f.u.; symmetry = Cmmm; formation energy = -0.90 eV/atom; electronic total energy = -5.787 eV/atom; total moment = 0.00 μB/atom
1.0
2.5010 -7.4707 0.0000
2.5010 7.4707 0.0000
0.0000 0.0000 6.8523
Dy Ho Pd
1 5 6
Direct
0.0000 0.0000 0.0000 Dy
0.0000 0.0000 0.5000 Ho
0.3333 0.6667 0.0000 Ho
0.3334 0.6666 0.5000 Ho
0.6667 0.3333 0.0000 Ho
0.6666 0.3334 0.5000 Ho
0.1674 0.8326 0.2502 Pd
0.1674 0.8326 0.7498 Pd
0.5000 0.5000 0.2514 Pd
0.5000 0.5000 0.7486 Pd
0.8326 0.1674 0.2502 Pd
0.8326 0.1674 0.7498 Pd

---

Entry 8:
CsErSnTe3 (PBE-GGA, relaxed); symmetry = P2_1/m; raw formation energy = -1.02 eV/atom; electronic total energy = -4.157 eV/atom; total moment = 0.00 μB/atom
1.0
9.8929 0.0000 0.0000
0.0000 4.4455 0.0000
-4.4421 0.0000 11.3753
Cs Er Sn Te
2 2 2 6
Direct
0.2238 0.2500 0.2694 Cs
0.7762 0.7500 0.7306 Cs
0.3693 0.7500 0.8475 Er
0.6307 0.2500 0.1525 Er
0.1285 0.2500 0.5596 Sn
0.8715 0.7500 0.4404 Sn
0.1321 0.2500 0.7956 Te
0.3409 0.7500 0.5840 Te
0.4037 0.7500 0.1049 Te
0.5963 0.2500 0.8951 Te
0.6591 0.2500 0.4160 Te
0.8679 0.7500 0.2044 Te

---

Entry 9:
Nb14RuW (PBE-GGA, relaxed); DOS(E_F) = 24.0 states/eV/f.u.; symmetry = Cmmm; formation energy = -0.07 eV/atom; electronic total energy = -10.274 eV/atom; total moment = 0.00 μB/atom
1.0
3.2785 -4.6764 0.0000
3.2785 4.6764 0.0000
0.0000 0.0000 9.2711
Nb Ru W
14 1 1
Direct
0.0000 0.0000 0.0000 Nb
0.0000 0.5000 0.0000 Nb
0.0000 0.5000 0.5000 Nb
0.2493 0.7507 0.2513 Nb
0.2493 0.7507 0.7487 Nb
0.2500 0.2500 0.2592 Nb
0.2500 0.2500 0.7408 Nb
0.5000 0.0000 0.0000 Nb
0.5000 0.0000 0.5000 Nb
0.5000 0.5000 0.0000 Nb
0.7500 0.7500 0.2592 Nb
0.7500 0.7500 0.7408 Nb
0.7507 0.2493 0.2513 Nb
0.7507 0.2493 0.7487 Nb
0.5000 0.5000 0.5000 Ru
0.0000 0.0000 0.5000 W

---

Entry 10:
Mg7Ir2Rh (PBE-GGA, relaxed); DOS(E_F) = 4.3 states/eV/f.u.; symmetry = P3m1; formation energy = -0.25 eV/atom; electronic total energy = -3.878 eV/atom; total moment = 0.00 μB/atom
1.0
4.4908 0.0000 0.0000
-2.2454 3.8892 0.0000
0.0000 0.0000 10.8623
Mg Ir Rh
7 2 1
Direct
0.0000 0.0000 0.0000 Mg
0.0000 0.0000 0.2613 Mg
0.0000 0.0000 0.5273 Mg
0.3333 0.6667 0.1437 Mg
0.3333 0.6667 0.6820 Mg
0.6667 0.3333 0.3781 Mg
0.6667 0.3333 0.8487 Mg
0.0000 0.0000 0.7635 Ir
0.6667 0.3333 0.1179 Ir
0.3333 0.6667 0.4105 Rh

---

Entry 11:
SiAgBr2 (PBE-GGA, relaxed); DOS(E_F) = 0.6 states/eV/f.u.; symmetry = P2/m; raw formation energy = 0.14 eV/atom; electronic total energy = -2.765 eV/atom; polymorph energy (0 for the lowest one) = 22.6 kJ/mol of atoms; total moment = 0.00 μB/atom
1.0
3.4678 0.0000 0.0000
0.0000 3.9545 0.0000
-1.6959 0.0000 7.4471
Si Ag Br
1 1 2
Direct
0.0000 0.0000 0.0000 Si
0.5000 0.0000 0.5000 Ag
0.1070 0.5000 0.2622 Br
0.8930 0.5000 0.7378 Br

---

Entry 12:
BaLi3Cu (PBE-GGA, relaxed); DOS(E_F) = 4.1 states/eV/f.u.; symmetry = Pm-3m; formation energy = 0.11 eV/atom; electronic total energy = -2.246 eV/atom; polymorph energy (0 for the lowest one) = 7.1 kJ/mol of atoms; total moment = 0.00 μB/atom
1.0
5.0930 0.0000 0.0000
0.0000 5.0930 0.0000
0.0000 0.0000 5.0930
Ba Li Cu
1 3 1
Direct
0.0000 0.0000 0.0000 Ba
0.0000 0.5000 0.5000 Li
0.5000 0.0000 0.5000 Li
0.5000 0.5000 0.0000 Li
0.5000 0.5000 0.5000 Cu

---

Entry 13:
Dy6TlOs (PBE-GGA, relaxed); DOS(E_F) = 10.6 states/eV/f.u.; symmetry = P-1; formation energy = 0.03 eV/atom; electronic total energy = -5.121 eV/atom; total moment = 0.00 μB/atom
1.0
6.8931 0.0000 0.0000
-3.4465 6.0100 0.0000
-3.3927 -1.9972 6.3802
Dy Tl Os
6 1 1
Direct
0.0453 0.0834 0.2572 Dy
0.2950 0.7113 0.2565 Dy
0.3225 0.5362 0.7438 Dy
0.6775 0.4638 0.2562 Dy
0.7050 0.2887 0.7435 Dy
0.9547 0.9166 0.7428 Dy
0.5000 0.0000 0.0000 Tl
0.5000 0.5000 0.5000 Os

---

Entry 14:
ZnSbTe2Rh (PBE-GGA, relaxed); DOS(E_F) = 4.0 states/eV/f.u.; symmetry = P4/mmm; raw formation energy = 0.38 eV/atom; electronic total energy = -3.429 eV/atom; polymorph energy (0 for the lowest one) = 0.0 kJ/mol of atoms; total moment = 0.00 μB/atom
1.0
5.4107 0.0000 0.0000
0.0000 5.4107 0.0000
0.0000 0.0000 4.9338
Zn Sb Te Rh
1 1 2 1
Direct
0.0000 0.0000 0.0000 Zn
0.5000 0.5000 0.0000 Sb
0.0000 0.5000 0.5000 Te
0.5000 0.0000 0.5000 Te
0.5000 0.5000 0.5000 Rh

---

Entry 15:
LiSiPb2N (PBE-GGA, relaxed); DOS(E_F) = 3.5 states/eV/f.u.; symmetry = P4/mmm; raw formation energy = 0.89 eV/atom; electronic total energy = -3.729 eV/atom; total moment = 0.00 μB/atom
1.0
5.8330 0.0000 0.0000
0.0000 5.8330 0.0000
0.0000 0.0000 3.7056
Li Si Pb N
1 1 2 1
Direct
0.0000 0.0000 0.0000 Li
0.5000 0.5000 0.5000 Si
0.0000 0.5000 0.0000 Pb
0.5000 0.0000 0.0000 Pb
0.0000 0.0000 0.5000 N

---

Entry 16:
AcYHg2 (PBE-GGA, relaxed); DOS(E_F) = 3.9 states/eV/f.u.; symmetry = P4/mmm; formation energy = -0.47 eV/atom; electronic total energy = -3.266 eV/atom; total moment = 0.09 μB/atom
1.0
3.8341 0.0000 0.0000
0.0000 3.8341 0.0000
0.0000 0.0000 7.9723
Ac Y Hg
1 1 2
Direct
0.0000 0.0000 0.0000 Ac
0.0000 0.0000 0.5000 Y
0.5000 0.5000 0.2832 Hg
0.5000 0.5000 0.7168 Hg

---

Entry 17:
LiH2Pb (PBE-GGA, relaxed); DOS(E_F) = 0.6 states/eV/f.u.; symmetry = P1; electronic total energy = -3.182 eV/atom; polymorph energy (0 for the lowest one) = 0.0 kJ/mol of atoms; total moment = 0.00 μB/atom
1.0
3.4152 0.0000 0.0000
-0.0044 3.5698 0.0000
-0.4020 -1.7017 11.1622
Li H Pb
2 4 2
Direct
0.0000 0.0000 0.0000 Li
0.4944 0.4705 0.9383 Li
0.0068 0.5059 0.0130 H
0.4956 0.9633 0.9236 H
0.8805 0.1885 0.1934 H
0.8807 0.9753 0.1902 H
0.4426 0.7120 0.4703 Pb
0.9674 0.3077 0.6809 Pb

---

Entry 18:
ZnHg3 (PBE-GGA, relaxed); DOS(E_F) = 1.0 states/eV/f.u.; symmetry = Pmm2; formation energy = 0.09 eV/atom; electronic total energy = -0.459 eV/atom; polymorph energy (0 for the lowest one) = 1.7 kJ/mol of atoms; total moment = 0.00 μB/atom
1.0
3.4484 0.0000 0.0000
0.0000 3.8844 0.0000
0.0000 0.0000 7.5708
Zn Hg
1 3
Direct
0.0000 0.0000 0.0000 Zn
0.0000 0.5000 0.2742 Hg
0.5000 0.0000 0.5268 Hg
0.5000 0.5000 0.8411 Hg

---

Entry 19:
Ac4SiBiS2 (PBE-GGA, relaxed); DOS(E_F) = 2.2 states/eV/f.u.; symmetry = P2/m; raw formation energy = -1.37 eV/atom; electronic total energy = -5.615 eV/atom; total moment = 0.00 μB/atom
1.0
7.7375 0.0000 0.0000
0.0000 4.5660 0.0000
-2.7151 0.0000 7.5140
Ac Si Bi S
4 1 1 2
Direct
0.2389 0.0000 0.2315 Ac
0.2464 0.5000 0.7602 Ac
0.7536 0.5000 0.2398 Ac
0.7611 0.0000 0.7685 Ac
0.5000 0.0000 0.0000 Si
0.5000 0.5000 0.5000 Bi
0.0000 0.0000 0.5000 S
0.0000 0.5000 0.0000 S

---

Entry 20:
LiTmCd11 (PBE-GGA, relaxed); DOS(E_F) = 4.6 states/eV/f.u.; symmetry = C2/m; formation energy = -0.10 eV/atom; electronic total energy = -1.369 eV/atom; total moment = 0.00 μB/atom
1.0
2.9227 -7.0018 0.0000
2.9227 7.0018 0.0000
-2.8973 0.0000 6.9838
Li Tm Cd
1 1 11
Direct
0.0000 0.0000 0.0000 Li
0.5000 0.5000 0.5000 Tm
0.0000 0.5000 0.5000 Cd
0.0100 0.8023 0.2835 Cd
0.1449 0.4858 0.1469 Cd
0.1977 0.9900 0.7165 Cd
0.4858 0.1449 0.1469 Cd
0.5000 0.0000 0.5000 Cd
0.5000 0.5000 0.0000 Cd
0.5142 0.8551 0.8531 Cd
0.8023 0.0100 0.2835 Cd
0.8551 0.5142 0.8531 Cd
0.9900 0.1977 0.7165 Cd

---

Entry 21:
PmCoBi (PBE-GGA, relaxed); DOS(E_F) = 4.1 states/eV/f.u.; symmetry = F-43m; formation energy = -0.34 eV/atom; electronic total energy = -5.587 eV/atom; polymorph energy (0 for the lowest one) = 0.0 kJ/mol of atoms; total moment = 0.31 μB/atom
1.0
0.0000 3.3039 3.3039
3.3039 0.0000 3.3039
3.3039 3.3039 0.0000
Pm Co Bi
1 1 1
Direct
0.0000 0.0000 0.0000 Pm
0.7500 0.7500 0.7500 Co
0.5000 0.5000 0.5000 Bi

---

Entry 22:
CaSnGeS2 (PBE-GGA, relaxed); DOS(E_F) = 2.8 states/eV/f.u.; symmetry = P4/mmm; raw formation energy = -0.15 eV/atom; electronic total energy = -3.926 eV/atom; total moment = 0.00 μB/atom
1.0
5.0179 0.0000 0.0000
0.0000 5.0179 0.0000
0.0000 0.0000 5.1033
Ca Sn Ge S
1 1 1 2
Direct
0.0000 0.0000 0.0000 Ca
0.5000 0.5000 0.0000 Sn
0.5000 0.5000 0.5000 Ge
0.0000 0.5000 0.5000 S
0.5000 0.0000 0.5000 S

---

Entry 23:
K3Np2ScO9 (PBE-GGA, relaxed); DOS(E_F) = 0.1 states/eV/f.u.; symmetry = P-3m1; raw formation energy = -2.70 eV/atom; electronic total energy = -8.045 eV/atom; total moment = 0.13 μB/atom
1.0
5.9531 0.0000 0.0000
-2.9766 5.1556 0.0000
0.0000 0.0000 7.3021
K Np Sc O
3 2 1 9
Direct
0.0000 0.0000 0.0000 K
0.3333 0.6667 0.6613 K
0.6667 0.3333 0.3387 K
0.3333 0.6667 0.1744 Np
0.6667 0.3333 0.8256 Np
0.0000 0.0000 0.5000 Sc
0.0000 0.5000 0.0000 O
0.1701 0.3402 0.3303 O
0.1701 0.8299 0.3303 O
0.3402 0.1701 0.6697 O
0.5000 0.0000 0.0000 O
0.5000 0.5000 0.0000 O
0.6598 0.8299 0.3303 O
0.8299 0.1701 0.6697 O
0.8299 0.6598 0.6697 O

---

Entry 24:
KPt2Se (PBE-GGA, relaxed); DOS(E_F) = 3.6 states/eV/f.u.; symmetry = Imm2; raw formation energy = -0.04 eV/atom; electronic total energy = -4.210 eV/atom; total moment = 0.00 μB/atom
1.0
-1.7851 2.8605 4.6973
1.7851 -2.8605 4.6973
1.7851 2.8605 -4.6973
K Pt Se
1 2 1
Direct
0.0000 0.0000 0.0000 K
0.4768 0.4768 0.0000 Pt
0.6724 0.1724 0.5000 Pt
0.3023 0.8023 0.5000 Se

---

Entry 25:
LaPrNd3Sc (PBE-GGA, relaxed); DOS(E_F) = 10.1 states/eV/f.u.; symmetry = Cmcm; formation energy = 0.09 eV/atom; electronic total energy = -4.964 eV/atom; total moment = 0.00 μB/atom
1.0
2.9165 -5.9700 0.0000
2.9165 5.9700 0.0000
0.0000 0.0000 11.6984
La Pr Nd Sc
2 2 6 2
Direct
0.0271 0.9729 0.7500 La
0.9729 0.0271 0.2500 La
0.5000 0.5000 0.0000 Pr
0.5000 0.5000 0.5000 Pr
0.1804 0.8196 0.0299 Nd
0.1804 0.8196 0.4701 Nd
0.3270 0.6730 0.7500 Nd
0.6730 0.3270 0.2500 Nd
0.8196 0.1804 0.5299 Nd
0.8196 0.1804 0.9701 Nd
0.3513 0.6487 0.2500 Sc
0.6487 0.3513 0.7500 Sc